SmScCu2S4 after structural relaxation, computed with PBE.

```
SmScCu2S4
1.0
-3.1698 3.2817 3.8341
3.1698 -3.2817 3.8341
3.1698 3.2817 -3.8341
Sm Sc Cu S
1 1 2 4
Direct
0.0000 0.0000 0.0000
0.5000 0.5000 0.0000
0.3330 0.8330 0.5000
0.6670 0.1670 0.5000
0.1001 0.0921 0.5534
0.4613 0.9079 0.0080
0.5387 0.5467 0.4466
0.8999 0.4533 0.9920
```

Computed properties:
space-group type = I222, No. 23
calculated density = 4.69 g/cm³
calculated total energy = -44.943 eV for the cell shown
formation energy (no corrections) = -1.149 eV per atom